# CsZnAu2

CsZnAu2 after structural relaxation (PBE, Alexandria via LeMat-Bulk).

```
data_CsZnAu2
_chemical_formula_sum 'Cs2 Zn2 Au4'
_space_group_name_H-M_alt 'P 1'
_space_group_IT_number 1
_cell_length_a 4.6214
_cell_length_b 6.9326
_cell_length_c 7.6635
_cell_angle_alpha 90.00
_cell_angle_beta 90.00
_cell_angle_gamma 90.00
loop_
_space_group_symop_operation_xyz
'x,y,z'
loop_
_atom_site_label
_atom_site_type_symbol
_atom_site_fract_x
_atom_site_fract_y
_atom_site_fract_z
Cs1 Cs 0.5000 0.8907 0.0000
Cs2 Cs 0.0000 0.1093 0.5000
Zn1 Zn 0.5000 0.5782 0.5000
Zn2 Zn 0.0000 0.4218 0.0000
Au1 Au 0.0000 0.5934 0.6831
Au2 Au 0.5000 0.4066 0.8169
Au3 Au 0.0000 0.5934 0.3169
Au4 Au 0.5000 0.4066 0.1831
```

Calculated values
electronic total energy	-2.436	eV/atom
space-group type	Pmmn
density of states at the Fermi level	2.38	states/eV per cell
ΔH_f (0 K)	-1.1	eV/f.u.

=====

# CoHgSb2I

CoHgSb2I after structural relaxation (PBE, Alexandria via LeMat-Bulk).

```
data_CoHgSb2I
_chemical_formula_sum 'Co1 Hg1 Sb2 I1'
_space_group_name_H-M_alt 'P 1'
_space_group_IT_number 1
_cell_length_a 4.9175
_cell_length_b 4.9175
_cell_length_c 5.7209
_cell_angle_alpha 90.00
_cell_angle_beta 90.00
_cell_angle_gamma 90.00
loop_
_space_group_symop_operation_xyz
'x,y,z'
loop_
_atom_site_label
_atom_site_type_symbol
_atom_site_fract_x
_atom_site_fract_y
_atom_site_fract_z
I1 I 0.0000 0.0000 0.5000
Sb1 Sb 0.0000 0.5000 0.0000
Sb2 Sb 0.5000 0.0000 0.0000
Co1 Co 0.0000 0.0000 0.0000
Hg1 Hg 0.5000 0.5000 0.5000
```

Calculated values
electronic total energy	-3.119	eV/atom
space-group type	P4/mmm
formation energy without anion corrections	0.322	eV/atom
density of states at the Fermi level	3.86	states/eV per cell
offset from the most stable computed form	0	meV/atom

=====

# Mn2TcGe

Mn2TcGe after structural relaxation (PBE, Alexandria via LeMat-Bulk).

```
data_Mn2TcGe
_chemical_formula_sum 'Mn2 Tc1 Ge1'
_space_group_name_H-M_alt 'P 1'
_space_group_IT_number 1
_cell_length_a 2.9530
_cell_length_b 4.1169
_cell_length_c 4.1169
_cell_angle_alpha 90.00
_cell_angle_beta 90.00
_cell_angle_gamma 90.00
loop_
_space_group_symop_operation_xyz
'x,y,z'
loop_
_atom_site_label
_atom_site_type_symbol
_atom_site_fract_x
_atom_site_fract_y
_atom_site_fract_z
Ge1 Ge 0.5000 0.5000 0.5000
Mn1 Mn 0.0000 0.0000 0.5000
Mn2 Mn 0.0000 0.5000 0.0000
Tc1 Tc 0.5000 0.0000 0.0000
```

Calculated values
electronic total energy	-8.223	eV/atom
space-group type	P4/mmm
density of states at the Fermi level	3.87	states/eV per cell
ΔH_f (0 K)	0.4	eV/f.u.

=====

# MnFeMo2

MnFeMo2 after structural relaxation (PBE, Alexandria via LeMat-Bulk).

```
data_MnFeMo2
_chemical_formula_sum 'Mn1 Fe1 Mo2'
_space_group_name_H-M_alt 'P 1'
_space_group_IT_number 1
_cell_length_a 3.0202
_cell_length_b 3.0202
_cell_length_c 5.9590
_cell_angle_alpha 90.00
_cell_angle_beta 90.00
_cell_angle_gamma 90.00
loop_
_space_group_symop_operation_xyz
'x,y,z'
loop_
_atom_site_label
_atom_site_type_symbol
_atom_site_fract_x
_atom_site_fract_y
_atom_site_fract_z
Fe1 Fe 0.5000 0.5000 0.2500
Mn1 Mn 0.5000 0.5000 0.7500
Mo1 Mo 0.0000 0.0000 0.9983
Mo2 Mo 0.0000 0.0000 0.5017
```

Calculated values
electronic total energy	-9.652	eV/atom
space-group type	P4/mmm
density of states at the Fermi level	5.44	states/eV per cell
offset from the most stable computed form	62	meV/atom
ΔH_f (0 K)	0.7	eV/f.u.

=====

# HgTeMoAu

HgTeMoAu after structural relaxation (PBE, Alexandria via LeMat-Bulk).

```
data_HgTeMoAu
_chemical_formula_sum 'Hg2 Te2 Mo2 Au2'
_space_group_name_H-M_alt 'P 1'
_space_group_IT_number 1
_cell_length_a 10.0795
_cell_length_b 3.2626
_cell_length_c 5.6512
_cell_angle_alpha 90.00
_cell_angle_beta 100.70
_cell_angle_gamma 90.00
loop_
_space_group_symop_operation_xyz
'x,y,z'
loop_
_atom_site_label
_atom_site_type_symbol
_atom_site_fract_x
_atom_site_fract_y
_atom_site_fract_z
Hg1 Hg 0.6366 0.0000 0.9575
Hg2 Hg 0.6366 0.5000 0.4575
Te1 Te 0.2906 0.0000 0.1729
Te2 Te 0.2906 0.5000 0.6729
Mo1 Mo 0.0977 0.0000 0.4422
Mo2 Mo 0.0977 0.5000 0.9422
Au1 Au 0.8806 0.0000 0.7038
Au2 Au 0.8806 0.5000 0.2038
```

Calculated values
electronic total energy	-4.183	eV/atom
space-group type	Cm
formation energy without anion corrections	0.205	eV/atom
density of states at the Fermi level	4.12	states/eV per cell
offset from the most stable computed form	20	meV/atom

=====

# PrZn2Ni10

PrZn2Ni10 after structural relaxation (PBE, Alexandria via LeMat-Bulk).

```
data_PrZn2Ni10
_chemical_formula_sum 'Pr1 Zn2 Ni10'
_space_group_name_H-M_alt 'P 1'
_space_group_IT_number 1
_cell_length_a 4.7818
_cell_length_b 6.3894
_cell_length_c 6.3699
_cell_angle_alpha 81.93
_cell_angle_beta 67.95
_cell_angle_gamma 68.03
loop_
_space_group_symop_operation_xyz
'x,y,z'
loop_
_atom_site_label
_atom_site_type_symbol
_atom_site_fract_x
_atom_site_fract_y
_atom_site_fract_z
Pr1 Pr 0.0000 0.0000 0.0000
Zn1 Zn 0.0000 0.5000 0.0000
Zn2 Zn 0.5000 0.5000 0.0000
Ni1 Ni 0.3573 0.6473 0.6380
Ni2 Ni 0.6427 0.3527 0.3620
Ni3 Ni 0.0047 0.3527 0.6380
Ni4 Ni 0.9953 0.6473 0.3620
Ni5 Ni 0.0000 0.0000 0.5000
Ni6 Ni 0.5000 0.0000 0.5000
Ni7 Ni 0.2696 0.2274 0.2334
Ni8 Ni 0.7304 0.7726 0.7666
Ni9 Ni 0.4970 0.7726 0.2334
Ni10 Ni 0.5030 0.2274 0.7666
```

Calculated values
electronic total energy	-5.130	eV/atom
space-group type	Fmmm
density of states at the Fermi level	21.28	states/eV per cell
ΔH_f (0 K)	-1.5	eV/f.u.

=====

# AcSm2ScSe4

AcSm2ScSe4 after structural relaxation (PBE, Alexandria via LeMat-Bulk).

```
data_AcSm2ScSe4
_chemical_formula_sum 'Ac1 Sm2 Sc1 Se4'
_space_group_name_H-M_alt 'P 1'
_space_group_IT_number 1
_cell_length_a 4.1253
_cell_length_b 7.4113
_cell_length_c 7.1994
_cell_angle_alpha 108.61
_cell_angle_beta 90.00
_cell_angle_gamma 90.00
loop_
_space_group_symop_operation_xyz
'x,y,z'
loop_
_atom_site_label
_atom_site_type_symbol
_atom_site_fract_x
_atom_site_fract_y
_atom_site_fract_z
Ac1 Ac 0.0000 0.0000 0.0000
Sm1 Sm 0.5000 0.0000 0.5000
Sm2 Sm 0.0000 0.5000 0.5000
Sc1 Sc 0.5000 0.5000 0.0000
Se1 Se 0.5000 0.2720 0.2545
Se2 Se 0.5000 0.7280 0.7455
Se3 Se 0.0000 0.2728 0.7607
Se4 Se 0.0000 0.7272 0.2393
```

Calculated values
electronic total energy	-5.935	eV/atom
space-group type	P2/m
formation energy without anion corrections	-1.708	eV/atom
density of states at the Fermi level	4.79	states/eV per cell

=====

# ReNiAu2

ReNiAu2 after structural relaxation (PBE, Alexandria via LeMat-Bulk).

```
data_ReNiAu2
_chemical_formula_sum 'Re1 Ni1 Au2'
_space_group_name_H-M_alt 'P 1'
_space_group_IT_number 1
_cell_length_a 3.9660
_cell_length_b 2.7040
_cell_length_c 6.0645
_cell_angle_alpha 76.87
_cell_angle_beta 90.00
_cell_angle_gamma 90.00
loop_
_space_group_symop_operation_xyz
'x,y,z'
loop_
_atom_site_label
_atom_site_type_symbol
_atom_site_fract_x
_atom_site_fract_y
_atom_site_fract_z
Au1 Au 0.0000 0.0679 0.9849
Au2 Au 0.5000 0.4284 0.2628
Ni1 Ni 0.0000 0.2925 0.5483
Re1 Re 0.5000 0.7111 0.7040
```

Calculated values
electronic total energy	-5.860	eV/atom
space-group type	Pm
density of states at the Fermi level	2.51	states/eV per cell
offset from the most stable computed form	166	meV/atom
ΔH_f (0 K)	1.3	eV/f.u.

=====

Among the records above, which one has the lowest electronic total energy? MnFeMo2